The following is a DFT calculation (GGA-PBE) of crystalline NpNiAs2 at its relaxed geometry.

a b c (Å): 3.9024 3.9024 9.4693
angles (deg): 90.00 90.00 90.00
Element x y z (fractional)
1 Np 0.2500 0.2500 0.2423
2 Np 0.7500 0.7500 0.7577
3 Ni 0.2500 0.7500 0.5000
4 Ni 0.7500 0.2500 0.5000
5 As 0.2500 0.2500 0.6549
6 As 0.2500 0.7500 0.0000
7 As 0.7500 0.2500 0.0000
8 As 0.7500 0.7500 0.3451

Properties
Calculated volume (Å³ per atom): 18.03
Calculated formation energy (meV/atom): -545
Size of the total moment (Bohr magnetons per cell): 5.60


The following is a DFT calculation (GGA-PBE) of crystalline Np3Ni6As5 at its relaxed geometry.

a b c (Å): 3.9503 12.0050 9.4912
angles (deg): 90.00 90.00 90.00
Element x y z (fractional)
1 Np 0.2500 0.0838 0.2469
2 Np 0.2500 0.4162 0.2469
3 Np 0.2500 0.7500 0.2477
4 Np 0.7500 0.2500 0.7523
5 Np 0.7500 0.5838 0.7531
6 Np 0.7500 0.9162 0.7531
7 Ni 0.2500 0.0696 0.8902
8 Ni 0.2500 0.2500 0.0116
9 Ni 0.2500 0.2500 0.5008
10 Ni 0.2500 0.4304 0.8902
11 Ni 0.2500 0.5821 0.5003
12 Ni 0.2500 0.9179 0.5003
13 Ni 0.7500 0.0821 0.4997
14 Ni 0.7500 0.4179 0.4997
15 Ni 0.7500 0.5696 0.1098
16 Ni 0.7500 0.7500 0.4992
17 Ni 0.7500 0.7500 0.9884
18 Ni 0.7500 0.9304 0.1098
19 As 0.2500 0.0836 0.6426
20 As 0.2500 0.4164 0.6426
21 As 0.2500 0.6190 0.9830
22 As 0.2500 0.7500 0.6458
23 As 0.2500 0.8810 0.9830
24 As 0.7500 0.1190 0.0170
25 As 0.7500 0.2500 0.3542
26 As 0.7500 0.3810 0.0170
27 As 0.7500 0.5836 0.3574
28 As 0.7500 0.9164 0.3574

Properties
Calculated volume (Å³ per atom): 16.08
Calculated formation energy (meV/atom): -500
Size of the total moment (Bohr magnetons per cell): 20.72